# PBE-GGA Co4SnC2S, optimized geometry
data_Co4SnC2S
_cell_length_a 3.0404
_cell_length_b 3.0404
_cell_length_c 11.2771
_cell_angle_alpha 90.00
_cell_angle_beta 90.00
_cell_angle_gamma 120.00
_symmetry_space_group_name_H-M 'P -6 m 2'
_symmetry_Int_Tables_number 187
_symmetry_space_group_name_Hall 'P -6 2'
loop_
_atom_site_label
_atom_site_type_symbol
_atom_site_fract_x
_atom_site_fract_y
_atom_site_fract_z
Co1 Co 0.0000 0.0000 0.1452
Co2 Co 0.6667 0.3333 0.3043
Sn1 Sn 0.0000 0.0000 0.5000
C1 C 0.3333 0.6667 0.2305
S1 S 0.6667 0.3333 0.0000
# M_tot = 0.009 μB/f.u.
# Calculated total energy = -6.655 eV/atom